Material: Zn3B7BrO13
Method: DFT, GGA-PBEsol
State: optimized geometry

Calculated values
Energy relative to the elements, uncorrected = -2.19 eV per atom

a b c (Å): 8.5536 8.5769 12.1110
angles (deg): 90.00 90.00 90.00
Positions (direct):
1 Zn 0.2605 0.7487 0.2423
2 Zn 0.7395 0.2513 0.7423
3 Zn 0.2395 0.7487 0.7423
4 Zn 0.7605 0.2513 0.2423
5 Zn 0.9823 0.4664 0.5211
6 Zn 0.0177 0.5336 0.0211
7 Zn 0.5177 0.4664 0.0211
8 Zn 0.4823 0.5336 0.5211
9 Zn 0.4827 0.9660 0.5243
10 Zn 0.5173 0.0340 0.0243
11 Zn 0.0173 0.9660 0.0243
12 Zn 0.9827 0.0340 0.5243
13 B 0.9983 0.4965 0.7701
14 B 0.0017 0.5035 0.2701
15 B 0.5017 0.4965 0.2701
16 B 0.4983 0.5035 0.7701
17 B 0.7570 0.7532 0.5174
18 B 0.2430 0.2468 0.0174
19 B 0.7430 0.7532 0.0174
20 B 0.2570 0.2468 0.5174
21 B 0.5018 0.0028 0.2709
22 B 0.4982 0.9972 0.7709
23 B 0.9982 0.0028 0.7709
24 B 0.0018 0.9972 0.2709
25 B 0.9566 0.7507 0.3714
26 B 0.0434 0.2493 0.8714
27 B 0.5434 0.7507 0.8714
28 B 0.4566 0.2493 0.3714
29 B 0.7468 0.5977 0.1898
30 B 0.2532 0.4023 0.6898
31 B 0.7532 0.5977 0.6898
32 B 0.2468 0.4023 0.1898
33 B 0.4061 0.2497 0.8426
34 B 0.5939 0.7503 0.3426
35 B 0.0939 0.2497 0.3426
36 B 0.9061 0.7503 0.8426
37 B 0.2528 0.0967 0.6907
38 B 0.7472 0.9033 0.1907
39 B 0.2472 0.0967 0.1907
40 B 0.7528 0.9033 0.6907
41 Br 0.2701 0.7498 0.5304
42 Br 0.7299 0.2502 0.0304
43 Br 0.2299 0.7498 0.0304
44 Br 0.7701 0.2502 0.5304
45 O 0.7319 0.7498 0.2592
46 O 0.2681 0.2502 0.7592
47 O 0.7681 0.7498 0.7592
48 O 0.2319 0.2502 0.2592
49 O 0.0432 0.6697 0.2944
50 O 0.9568 0.3303 0.7944
51 O 0.4568 0.6697 0.7944
52 O 0.5432 0.3303 0.2944
53 O 0.8829 0.6705 0.4551
54 O 0.1171 0.3295 0.9551
55 O 0.6171 0.6705 0.9551
56 O 0.3829 0.3295 0.4551
57 O 0.4663 0.8375 0.2914
58 O 0.5337 0.1625 0.7914
59 O 0.0337 0.8375 0.7914
60 O 0.9663 0.1625 0.2914
61 O 0.6773 0.6370 0.5863
62 O 0.3227 0.3630 0.0863
63 O 0.8227 0.6370 0.0863
64 O 0.1773 0.3630 0.5863
65 O 0.6683 0.0261 0.2499
66 O 0.3317 0.9739 0.7499
67 O 0.8317 0.0261 0.7499
68 O 0.1683 0.9739 0.2499
69 O 0.6416 0.8265 0.4444
70 O 0.3584 0.1735 0.9444
71 O 0.8584 0.8265 0.9444
72 O 0.1416 0.1735 0.4444
73 O 0.8347 0.4821 0.2509
74 O 0.1653 0.5179 0.7509
75 O 0.6653 0.4821 0.7509
76 O 0.3347 0.5179 0.2509
77 O 0.8287 0.8746 0.5851
78 O 0.1713 0.1254 0.0851
79 O 0.6713 0.8746 0.0851
80 O 0.3287 0.1254 0.5851
81 O 0.0498 0.4093 0.3650
82 O 0.9502 0.5907 0.8650
83 O 0.4502 0.4093 0.8650
84 O 0.5498 0.5907 0.3650
85 O 0.4627 0.0891 0.3745
86 O 0.5373 0.9109 0.8745
87 O 0.0373 0.0891 0.8745
88 O 0.9627 0.9109 0.3745
89 O 0.0878 0.4577 0.1710
90 O 0.9122 0.5423 0.6710
91 O 0.4122 0.4577 0.6710
92 O 0.5878 0.5423 0.1710
93 O 0.4116 0.0589 0.1757
94 O 0.5884 0.9411 0.6757
95 O 0.0884 0.0589 0.6757
96 O 0.9116 0.9411 0.1757